# BeMo2Br, optimized geometry, DFT PBE
# E_form (uncorrected) ... 800 meV per atom
# Crystal system ... monoclinic
data_BeMo2Br
_symmetry_space_group_name_H-M 'P 1 2/m 1'
_symmetry_Int_Tables_number 10
_cell_length_a 4.502
_cell_length_b 2.907
_cell_length_c 5.053
_cell_angle_alpha 90.00
_cell_angle_beta 113.52
_cell_angle_gamma 90.00
loop_
_symmetry_equiv_pos_as_xyz
'x,y,z'
'-x,-y,-z'
'-x,y,-z'
'x,-y,z'
loop_
_atom_site_label
_atom_site_type_symbol
_atom_site_fract_x
_atom_site_fract_y
_atom_site_fract_z
_atom_site_occupancy
Be1 Be 0.000 0.000 0.000 1
Mo1 Mo 0.500 0.000 0.500 1
Mo2 Mo 0.500 0.500 0.000 1
Br1 Br 0.000 0.500 0.500 1


# MgMn2Co, optimized geometry, DFT PBE
# Formation energy from the elements ... 0.233 eV/atom
# Crystal system ... orthorhombic
data_MgMn2Co
_symmetry_space_group_name_H-M 'C m m m'
_symmetry_Int_Tables_number 65
_symmetry_space_group_name_Hall '-C 2 2'
_cell_length_a 5.947
_cell_length_b 5.957
_cell_length_c 3.059
_cell_angle_alpha 90.00
_cell_angle_beta 90.00
_cell_angle_gamma 90.00
loop_
_atom_site_label
_atom_site_type_symbol
_atom_site_fract_x
_atom_site_fract_y
_atom_site_fract_z
_atom_site_occupancy
Mg1 Mg 0.000 0.000 0.000 1
Mn1 Mn 0.250 0.250 0.500 1
Co1 Co 0.000 0.500 0.000 1


# Hg4Te2Br3, optimized geometry, DFT PBE
# E_form (uncorrected) ... -257 meV per atom
# Crystal system ... monoclinic
data_Hg4Te2Br3
_symmetry_space_group_name_H-M 'C 1 2/c 1'
_symmetry_Int_Tables_number 15
_cell_length_a 11.708
_cell_length_b 13.723
_cell_length_c 7.754
_cell_angle_alpha 90.00
_cell_angle_beta 103.89
_cell_angle_gamma 90.00
loop_
_symmetry_equiv_pos_as_xyz
'x,y,z'
'-x,-y,-z'
'-x,y,-z+1/2'
'x,-y,z+1/2'
'x+1/2,y+1/2,z'
'-x+1/2,-y+1/2,-z'
'-x+1/2,y+1/2,-z+1/2'
'x+1/2,-y+1/2,z+1/2'
loop_
_atom_site_label
_atom_site_type_symbol
_atom_site_fract_x
_atom_site_fract_y
_atom_site_fract_z
_atom_site_occupancy
Hg1 Hg 0.104 0.161 0.046 1
Hg2 Hg 0.164 0.457 0.510 1
Te1 Te 0.149 0.367 0.825 1
Br1 Br 0.000 0.333 0.250 1
Br2 Br 0.125 0.116 0.592 1


# Dy3ZnHg2, optimized geometry, DFT PBE
# Formation energy from the elements ... -0.423 eV/atom
# Crystal system ... trigonal
data_Dy3ZnHg2
_symmetry_space_group_name_H-M 'P -3 m 1'
_symmetry_Int_Tables_number 164
_symmetry_space_group_name_Hall '-P 3 2"'
_cell_length_a 5.1879
_cell_length_b 5.1879
_cell_length_c 12.7990
_cell_angle_alpha 90.00
_cell_angle_beta 90.00
_cell_angle_gamma 120.00
loop_
_atom_site_label
_atom_site_type_symbol
_atom_site_fract_x
_atom_site_fract_y
_atom_site_fract_z
_atom_site_occupancy
Dy1 Dy 0.0000 0.0000 0.2447 1
Dy2 Dy 0.3333 0.6667 0.4125 1
Dy3 Dy 0.3333 0.6667 0.9183 1
Zn1 Zn 0.3333 0.6667 0.1661 1
Hg1 Hg 0.0000 0.0000 0.0000 1
Hg2 Hg 0.0000 0.0000 0.5000 1
Hg3 Hg 0.3333 0.6667 0.6728 1


# HfMg2Pd6, optimized geometry, DFT PBE
# Formation energy from the elements ... -0.371 eV/atom
# Crystal system ... orthorhombic
data_HfMg2Pd6
_symmetry_space_group_name_H-M 'I m m m'
_symmetry_Int_Tables_number 71
_symmetry_space_group_name_Hall '-I 2 2'
_cell_length_a 4.289
_cell_length_b 6.150
_cell_length_c 12.633
_cell_angle_alpha 90.00
_cell_angle_beta 90.00
_cell_angle_gamma 90.00
loop_
_atom_site_label
_atom_site_type_symbol
_atom_site_fract_x
_atom_site_fract_y
_atom_site_fract_z
_atom_site_occupancy
Hf1 Hf 0.000 0.000 0.000 1
Mg1 Mg 0.000 0.000 0.329 1
Pd1 Pd 0.000 0.243 0.500 1
Pd2 Pd 0.000 0.257 0.166 1


# HfTaGa, optimized geometry, DFT PBE
# Formation energy from the elements ... -0.173 eV/atom
# Crystal system ... tetragonal
data_HfTaGa
_symmetry_space_group_name_H-M 'I 4 m m'
_symmetry_Int_Tables_number 107
_symmetry_space_group_name_Hall 'I 4 -2'
_cell_length_a 3.453
_cell_length_b 3.453
_cell_length_c 9.302
_cell_angle_alpha 90.00
_cell_angle_beta 90.00
_cell_angle_gamma 90.00
loop_
_atom_site_label
_atom_site_type_symbol
_atom_site_fract_x
_atom_site_fract_y
_atom_site_fract_z
_atom_site_occupancy
Hf1 Hf 0.000 0.000 0.000 1
Ta1 Ta 0.000 0.000 0.680 1
Ga1 Ga 0.000 0.000 0.328 1


# KGaO3, optimized geometry, DFT PBE
# E_form (uncorrected) ... -1013 meV per atom
# Crystal system ... cubic
data_KGaO3
_symmetry_space_group_name_H-M 'P m -3 m'
_symmetry_Int_Tables_number 221
_symmetry_space_group_name_Hall '-P 4 2 3'
_cell_length_a 3.944
_cell_length_b 3.944
_cell_length_c 3.944
_cell_angle_alpha 90.00
_cell_angle_beta 90.00
_cell_angle_gamma 90.00
loop_
_atom_site_label
_atom_site_type_symbol
_atom_site_fract_x
_atom_site_fract_y
_atom_site_fract_z
_atom_site_occupancy
K1 K 0.000 0.000 0.000 1
Ga1 Ga 0.500 0.500 0.500 1
O1 O 0.000 0.500 0.500 1


| no. | DOS(E_F) (states/eV/cell) | raw total energy (eV/atom) |
| --- | --- | --- |
| 1 | 3.5 | -5.965 |
| 2 | 7.2 | -6.526 |
| 3 | 12.7 | -1.646 |
| 4 | 12.1 | -3.037 |
| 5 | 4.9 | -5.293 |
| 6 | 4.6 | -8.451 |
| 7 | 4.6 | -4.813 |